[1]
## Y6TmSc (GGA-PBE)

Data for an optimized crystal structure of Y6TmSc.

Structure (CIF):
```
data_Y6TmSc
_chemical_formula_sum 'Y6 Tm1 Sc1'
_cell_length_a 6.769
_cell_length_b 6.475
_cell_length_c 6.906
_cell_angle_alpha 103.35
_cell_angle_beta 59.71
_cell_angle_gamma 92.03
_symmetry_space_group_name_H-M 'P 1'
_symmetry_Int_Tables_number 1
_symmetry_space_group_name_Hall 'P 1'
loop_
_atom_site_label
_atom_site_type_symbol
_atom_site_fract_x
_atom_site_fract_y
_atom_site_fract_z
Y1 Y 0.091 0.740 0.487
Y2 Y 0.564 0.771 0.530
Y3 Y 0.436 0.229 0.470
Y4 Y 0.909 0.260 0.513
Y5 Y 0.560 0.752 0.003
Y6 Y 0.440 0.248 0.997
Tm1 Tm 0.000 0.500 0.000
Sc1 Sc 0.000 0.000 0.000
```

Summary:
For the energy above the most stable polymorph in this dataset, the calculation gives 197 meV/atom. As for the calculated volume: 253.1 Å³ per cell. The spin magnetization comes out at 0.00 μB/atom. Its calculated total energy is -47.907 eV/cell. The formation energy comes out at 0.210 eV per atom.


[2]
## Sn7Pd4Au (GGA-PBE)

Data for an optimized crystal structure of Sn7Pd4Au.

Structure (CIF):
```
data_Sn7Pd4Au
_chemical_formula_sum 'Sn7 Pd4 Au1'
_cell_length_a 5.253
_cell_length_b 8.031
_cell_length_c 7.285
_cell_angle_alpha 78.09
_cell_angle_beta 68.87
_cell_angle_gamma 70.91
_symmetry_space_group_name_H-M 'P 1'
_symmetry_Int_Tables_number 1
_symmetry_space_group_name_Hall 'P 1'
loop_
_atom_site_label
_atom_site_type_symbol
_atom_site_fract_x
_atom_site_fract_y
_atom_site_fract_z
Sn1 Sn 0.780 0.866 0.575
Sn2 Sn 0.220 0.134 0.425
Sn3 Sn 0.059 0.670 0.212
Sn4 Sn 0.941 0.330 0.788
Sn5 Sn 0.335 0.602 0.727
Sn6 Sn 0.500 0.000 0.000
Sn7 Sn 0.665 0.398 0.273
Pd1 Pd 0.561 0.232 0.645
Pd2 Pd 0.439 0.768 0.355
Pd3 Pd 0.706 0.647 0.941
Pd4 Pd 0.294 0.353 0.059
Au1 Au 0.000 0.000 0.000
```

Summary:
As for the calculated volume: 269.5 Å³ per cell. The spin magnetization comes out at 0.00 μB/atom. Its calculated total energy is -55.057 eV/cell. The formation energy comes out at -0.249 eV per atom.


[3]
## Cr2Co2Ni (GGA-PBE)

Data for an optimized crystal structure of Cr2Co2Ni.

Structure (CIF):
```
data_Cr2Co2Ni
_chemical_formula_sum 'Cr4 Co4 Ni2'
_cell_length_a 6.784
_cell_length_b 6.784
_cell_length_c 2.496
_cell_angle_alpha 90.00
_cell_angle_beta 90.00
_cell_angle_gamma 90.00
_symmetry_space_group_name_H-M 'P 1'
_symmetry_Int_Tables_number 1
_symmetry_space_group_name_Hall 'P 1'
loop_
_atom_site_label
_atom_site_type_symbol
_atom_site_fract_x
_atom_site_fract_y
_atom_site_fract_z
Ni1 Ni 0.000 0.000 0.000
Ni2 Ni 0.500 0.500 0.000
Co1 Co 0.173 0.673 0.500
Co2 Co 0.673 0.827 0.500
Co3 Co 0.827 0.327 0.500
Co4 Co 0.327 0.173 0.500
Cr1 Cr 0.379 0.879 0.000
Cr2 Cr 0.879 0.621 0.000
Cr3 Cr 0.621 0.121 0.000
Cr4 Cr 0.121 0.379 0.000
```

Summary:
For the energy above the most stable polymorph in this dataset, the calculation gives 100 meV/atom. As for the calculated volume: 114.9 Å³ per cell. The spin magnetization comes out at 0.01 μB/atom. Its calculated total energy is -75.787 eV/cell. The formation energy comes out at 0.269 eV per atom.


[4]
## ScTi2Ag2S6 (GGA-PBE)

Data for an optimized crystal structure of ScTi2Ag2S6.

Structure (CIF):
```
data_ScTi2Ag2S6
_chemical_formula_sum 'Sc1 Ti2 Ag2 S6'
_cell_length_a 6.170
_cell_length_b 6.170
_cell_length_c 8.967
_cell_angle_alpha 110.12
_cell_angle_beta 110.12
_cell_angle_gamma 119.98
_symmetry_space_group_name_H-M 'P 1'
_symmetry_Int_Tables_number 1
_symmetry_space_group_name_Hall 'P 1'
loop_
_atom_site_label
_atom_site_type_symbol
_atom_site_fract_x
_atom_site_fract_y
_atom_site_fract_z
Sc1 Sc 0.000 0.000 0.500
Ti1 Ti 0.333 0.667 0.500
Ti2 Ti 0.667 0.333 0.500
Ag1 Ag 0.833 0.167 0.000
Ag2 Ag 0.167 0.833 0.000
S1 S 0.877 0.877 0.719
S2 S 0.219 0.561 0.719
S3 S 0.123 0.123 0.281
S4 S 0.561 0.219 0.719
S5 S 0.781 0.439 0.281
S6 S 0.439 0.781 0.281
```

Summary:
As for the calculated volume: 214.7 Å³ per cell. The spin magnetization comes out at 0.02 μB/atom. Its calculated total energy is -64.598 eV/cell.


[5]
## RbTl3O (GGA-PBE)

Data for an optimized crystal structure of RbTl3O.

Structure (CIF):
```
data_RbTl3O
_chemical_formula_sum 'Rb1 Tl3 O1'
_cell_length_a 5.395
_cell_length_b 5.395
_cell_length_c 5.395
_cell_angle_alpha 90.00
_cell_angle_beta 90.00
_cell_angle_gamma 90.00
_symmetry_space_group_name_H-M 'P 1'
_symmetry_Int_Tables_number 1
_symmetry_space_group_name_Hall 'P 1'
loop_
_atom_site_label
_atom_site_type_symbol
_atom_site_fract_x
_atom_site_fract_y
_atom_site_fract_z
Tl1 Tl 0.000 0.500 0.000
Tl2 Tl 0.000 0.000 0.500
Tl3 Tl 0.500 0.000 0.000
O1 O 0.000 0.000 0.000
Rb1 Rb 0.500 0.500 0.500
```

Summary:
For the energy above the most stable polymorph in this dataset, the calculation gives 0 meV/atom. As for the calculated volume: 157.0 Å³ per cell. The spin magnetization comes out at 0.00 μB/atom. Its calculated total energy is -13.864 eV/cell.


[6]
## AcScCd2Hg4 (GGA-PBE)

Data for an optimized crystal structure of AcScCd2Hg4.

Structure (CIF):
```
data_AcScCd2Hg4
_chemical_formula_sum 'Ac1 Sc1 Cd2 Hg4'
_cell_length_a 5.118
_cell_length_b 5.118
_cell_length_c 9.211
_cell_angle_alpha 73.87
_cell_angle_beta 73.87
_cell_angle_gamma 60.00
_symmetry_space_group_name_H-M 'P 1'
_symmetry_Int_Tables_number 1
_symmetry_space_group_name_Hall 'P 1'
loop_
_atom_site_label
_atom_site_type_symbol
_atom_site_fract_x
_atom_site_fract_y
_atom_site_fract_z
Ac1 Ac 0.000 0.000 0.000
Sc1 Sc 0.500 0.500 0.500
Cd1 Cd 0.752 0.752 0.744
Cd2 Cd 0.248 0.248 0.256
Hg1 Hg 0.387 0.387 0.838
Hg2 Hg 0.868 0.868 0.396
Hg3 Hg 0.132 0.132 0.604
Hg4 Hg 0.613 0.613 0.162
```

Summary:
As for the calculated volume: 197.9 Å³ per cell. The spin magnetization comes out at 0.00 μB/atom. Its calculated total energy is -16.059 eV/cell. The formation energy comes out at -0.323 eV per atom.


[7]
## Na5B7C3 (GGA-PBE)

Data for an optimized crystal structure of Na5B7C3.

Structure (CIF):
```
data_Na5B7C3
_chemical_formula_sum 'Na10 B14 C6'
_cell_length_a 12.937
_cell_length_b 12.937
_cell_length_c 8.565
_cell_angle_alpha 90.00
_cell_angle_beta 90.00
_cell_angle_gamma 167.45
_symmetry_space_group_name_H-M 'P 1'
_symmetry_Int_Tables_number 1
_symmetry_space_group_name_Hall 'P 1'
loop_
_atom_site_label
_atom_site_type_symbol
_atom_site_fract_x
_atom_site_fract_y
_atom_site_fract_z
Na1 Na 0.200 0.800 0.999
Na2 Na 0.200 0.800 0.501
Na3 Na 0.399 0.601 0.999
Na4 Na 0.399 0.601 0.501
Na5 Na 0.000 0.000 0.998
Na6 Na 0.000 0.000 0.502
Na7 Na 0.601 0.399 0.997
Na8 Na 0.601 0.399 0.503
Na9 Na 0.799 0.201 0.997
Na10 Na 0.799 0.201 0.503
B1 B 0.267 0.733 0.750
B2 B 0.727 0.273 0.750
B3 B 0.264 0.736 0.250
B4 B 0.926 0.074 0.250
B5 B 0.469 0.531 0.750
B6 B 0.930 0.070 0.750
B7 B 0.469 0.531 0.250
B8 B 0.535 0.465 0.250
B9 B 0.539 0.461 0.750
B10 B 0.078 0.922 0.250
B11 B 0.133 0.867 0.750
B12 B 0.670 0.330 0.250
B13 B 0.336 0.664 0.750
B14 B 0.858 0.142 0.250
C1 C 0.733 0.267 0.250
C2 C 0.070 0.930 0.750
C3 C 0.138 0.862 0.250
C4 C 0.665 0.335 0.750
C5 C 0.327 0.673 0.250
C6 C 0.867 0.133 0.750
```

Summary:
For the energy above the most stable polymorph in this dataset, the calculation gives 10 meV/atom. As for the calculated volume: 311.6 Å³ per cell. The spin magnetization comes out at 0.00 μB/atom. Its calculated total energy is -158.318 eV/cell. The formation energy comes out at 0.123 eV per atom.


[8]
## CsRbHCl2 (GGA-PBE)

Data for an optimized crystal structure of CsRbHCl2.

Structure (CIF):
```
data_CsRbHCl2
_chemical_formula_sum 'Cs2 Rb2 H2 Cl4'
_cell_length_a 5.173
_cell_length_b 4.874
_cell_length_c 18.923
_cell_angle_alpha 90.00
_cell_angle_beta 94.88
_cell_angle_gamma 90.00
_symmetry_space_group_name_H-M 'P 1'
_symmetry_Int_Tables_number 1
_symmetry_space_group_name_Hall 'P 1'
loop_
_atom_site_label
_atom_site_type_symbol
_atom_site_fract_x
_atom_site_fract_y
_atom_site_fract_z
Cs1 Cs 0.705 0.000 0.612
Cs2 Cs 0.705 0.500 0.112
Rb1 Rb 0.270 0.000 0.323
Rb2 Rb 0.270 0.500 0.823
H1 H 0.309 0.000 0.032
H2 H 0.309 0.500 0.532
Cl1 Cl 0.440 0.000 0.969
Cl2 Cl 0.440 0.500 0.469
Cl3 Cl 0.193 0.000 0.118
Cl4 Cl 0.193 0.500 0.618
```

Summary:
For the energy above the most stable polymorph in this dataset, the calculation gives 122 meV/atom. As for the calculated volume: 475.4 Å³ per cell. The spin magnetization comes out at 0.00 μB/atom. Its calculated total energy is -27.592 eV/cell.


[9]
## BaCaV3 (GGA-PBE)

Data for an optimized crystal structure of BaCaV3.

Structure (CIF):
```
data_BaCaV3
_chemical_formula_sum 'Ba1 Ca1 V3'
_cell_length_a 5.533
_cell_length_b 5.533
_cell_length_c 5.533
_cell_angle_alpha 90.00
_cell_angle_beta 90.00
_cell_angle_gamma 90.00
_symmetry_space_group_name_H-M 'P 1'
_symmetry_Int_Tables_number 1
_symmetry_space_group_name_Hall 'P 1'
loop_
_atom_site_label
_atom_site_type_symbol
_atom_site_fract_x
_atom_site_fract_y
_atom_site_fract_z
Ca1 Ca 0.000 0.000 0.000
Ba1 Ba 0.500 0.500 0.500
V1 V 0.000 0.500 0.000
V2 V 0.000 0.000 0.500
V3 V 0.500 0.000 0.000
```

Summary:
For the energy above the most stable polymorph in this dataset, the calculation gives 0 meV/atom. As for the calculated volume: 169.4 Å³ per cell. The spin magnetization comes out at 2.57 μB/atom. Its calculated total energy is -22.494 eV/cell. The formation energy comes out at 1.757 eV per atom.


[10]
## SrSnBiPb (GGA-PBE)

Data for an optimized crystal structure of SrSnBiPb.

Structure (CIF):
```
data_SrSnBiPb
_chemical_formula_sum 'Sr1 Sn1 Bi1 Pb1'
_cell_length_a 4.881
_cell_length_b 4.961
_cell_length_c 5.193
_cell_angle_alpha 90.00
_cell_angle_beta 90.00
_cell_angle_gamma 90.00
_symmetry_space_group_name_H-M 'P 1'
_symmetry_Int_Tables_number 1
_symmetry_space_group_name_Hall 'P 1'
loop_
_atom_site_label
_atom_site_type_symbol
_atom_site_fract_x
_atom_site_fract_y
_atom_site_fract_z
Sr1 Sr 0.500 0.000 0.500
Sn1 Sn 0.000 0.000 0.000
Bi1 Bi 0.000 0.500 0.500
Pb1 Pb 0.500 0.500 0.000
```

Summary:
As for the calculated volume: 125.8 Å³ per cell. The spin magnetization comes out at 0.00 μB/atom. Its calculated total energy is -14.862 eV/cell. The formation energy comes out at -0.397 eV per atom.


[11]
## Ta2GaSe (GGA-PBE)

Data for an optimized crystal structure of Ta2GaSe.

Structure (CIF):
```
data_Ta2GaSe
_chemical_formula_sum 'Ta4 Ga2 Se2'
_cell_length_a 4.006
_cell_length_b 4.006
_cell_length_c 9.880
_cell_angle_alpha 78.30
_cell_angle_beta 78.30
_cell_angle_gamma 90.00
_symmetry_space_group_name_H-M 'P 1'
_symmetry_Int_Tables_number 1
_symmetry_space_group_name_Hall 'P 1'
loop_
_atom_site_label
_atom_site_type_symbol
_atom_site_fract_x
_atom_site_fract_y
_atom_site_fract_z
Ga1 Ga 0.500 0.500 0.000
Ga2 Ga 0.250 0.750 0.500
Se1 Se 0.000 0.000 0.000
Se2 Se 0.750 0.250 0.500
Ta1 Ta 0.619 0.125 0.250
Ta2 Ta 0.131 0.625 0.250
Ta3 Ta 0.375 0.381 0.750
Ta4 Ta 0.875 0.869 0.750
```

Summary:
For the energy above the most stable polymorph in this dataset, the calculation gives 174 meV/atom. As for the calculated volume: 151.9 Å³ per cell. The spin magnetization comes out at 0.00 μB/atom. Its calculated total energy is -58.669 eV/cell.


[12]
## Cs2Zn3S4 (GGA-PBE)

Data for an optimized crystal structure of Cs2Zn3S4.

Structure (CIF):
```
data_Cs2Zn3S4
_chemical_formula_sum 'Cs4 Zn6 S8'
_cell_length_a 9.561
_cell_length_b 9.561
_cell_length_c 9.561
_cell_angle_alpha 144.03
_cell_angle_beta 106.21
_cell_angle_gamma 84.92
_symmetry_space_group_name_H-M 'P 1'
_symmetry_Int_Tables_number 1
_symmetry_space_group_name_Hall 'P 1'
loop_
_atom_site_label
_atom_site_type_symbol
_atom_site_fract_x
_atom_site_fract_y
_atom_site_fract_z
Cs1 Cs 0.879 0.765 0.644
Cs2 Cs 0.621 0.265 0.886
Cs3 Cs 0.379 0.735 0.114
Cs4 Cs 0.121 0.235 0.356
Zn1 Zn 0.250 0.750 0.500
Zn2 Zn 0.750 0.250 0.500
Zn3 Zn 0.025 0.250 0.775
Zn4 Zn 0.475 0.250 0.225
Zn5 Zn 0.975 0.750 0.225
Zn6 Zn 0.525 0.750 0.775
S1 S 0.791 0.938 0.415
S2 S 0.709 0.124 0.147
S3 S 0.977 0.562 0.853
S4 S 0.523 0.376 0.585
S5 S 0.209 0.062 0.585
S6 S 0.291 0.876 0.853
S7 S 0.023 0.438 0.147
S8 S 0.477 0.624 0.415
```

Summary:
As for the calculated volume: 478.1 Å³ per cell. The spin magnetization comes out at 0.00 μB/atom. Its calculated total energy is -61.583 eV/cell.